# 1
6
Lattice="2.6605 0.0000 0.0000 0.0000 2.6605 0.0000 0.0000 0.0000 11.0115" Properties=species:S:1:pos:R:3 comment="MgMn5 (PBE-GGA, optimized geometry)" crystal_system=tetragonal spacegroup="No. 123" pbc="T T T"
Mg 0.0000 0.0000 0.0000
Mn 0.0000 0.0000 3.8606
Mn 0.0000 0.0000 7.1509
Mn 1.3303 1.3303 2.2020
Mn 1.3303 1.3303 5.5057
Mn 1.3303 1.3303 8.8095


# 2
4
Lattice="3.4226 0.0000 0.0000 0.0000 3.4226 0.0000 0.0000 0.0000 8.0264" Properties=species:S:1:pos:R:3 comment="AlTe2Ir (PBE-GGA, optimized geometry)" crystal_system=tetragonal spacegroup="No. 99" pbc="T T T"
Al 0.0000 0.0000 0.0000
Te 0.0000 0.0000 2.7936
Te 1.7113 1.7113 6.2431
Ir 1.7113 1.7113 0.8870


# 3
19
Lattice="4.1533 2.3979 4.0328 -4.1533 2.3979 4.0328 0.0000 -4.7958 4.0328" Properties=species:S:1:pos:R:3 comment="Tb2Co17 (PBE-GGA, optimized geometry)" crystal_system=trigonal spacegroup="No. 166" pbc="T T T"
Tb 0.0000 0.0000 1.8843
Tb 0.0000 0.0000 10.2140
Co -2.0766 -1.1990 4.0328
Co 0.0000 -2.3770 3.8671
Co -2.0585 1.1885 3.8671
Co -1.1971 -2.0734 6.0491
Co -2.3942 0.0000 6.0491
Co -2.0585 -1.1885 8.2312
Co 0.0000 0.0000 4.8812
Co -2.0766 1.1989 8.0655
Co 1.1971 -2.0734 6.0491
Co 0.0000 2.3979 4.0328
Co -1.1971 2.0734 6.0491
Co 0.0000 0.0000 7.2170
Co 2.0585 1.1885 3.8671
Co 2.3942 0.0000 6.0491
Co 1.1971 2.0734 6.0491
Co 2.0585 -1.1885 8.2312
Co 0.0000 2.3770 8.2312


Record order is preserved below.
Magnetic moment: 3.37; 0.00; 25.07 Bohr magnetons per cell
Record order is preserved below.
Final energy: -46.40; -19.00; -131.92 eV per formula unit